Record 1
AcThCS: relaxed, GGA-PBE.

Computed properties:
E_tot (eV/atom): -7.25
E_form (uncorrected) (meV/atom): -1026

Geometry as extended XYZ:
```
12
Lattice="3.9352 0.0000 0.0000 -1.9676 3.4080 0.0000 0.0000 0.0000 21.3376" Properties=species:S:1:pos:R:3 pbc="T T T"
Ac 0.0000 0.0000 0.0000
Ac 0.0000 2.2720 14.2251
Ac 1.9676 1.1360 7.1125
Th 0.0000 0.0000 17.2086
Th 0.0000 2.2720 10.0961
Th 1.9676 1.1360 2.9836
C 0.0000 0.0000 8.8639
C 0.0000 2.2720 1.7513
C 1.9676 1.1360 15.9764
S 0.0000 0.0000 4.9084
S 0.0000 2.2720 19.1334
S 1.9676 1.1360 12.0209
```



Record 2
AcUCS2: relaxed, GGA-PBE.

Computed properties:
E_tot (eV/atom): -7.72
E_form (uncorrected) (meV/atom): -1144

Geometry as extended XYZ:
```
10
Lattice="3.9511 0.0000 0.0000 0.0000 3.9511 0.0000 0.0000 0.0000 14.9035" Properties=species:S:1:pos:R:3 pbc="T T T"
Ac 0.9878 0.9878 1.9948
Ac 2.9633 2.9633 12.9088
U 0.9878 0.9878 8.6135
U 2.9633 2.9633 6.2900
C 0.9878 2.9633 7.4518
C 2.9633 0.9878 7.4518
S 0.9878 0.9878 4.8730
S 0.9878 0.9878 13.6619
S 2.9633 2.9633 1.2416
S 2.9633 2.9633 10.0305
```



Record 3
Ac3SbC: relaxed, GGA-PBE.

Computed properties:
E_tot (eV/atom): -5.45
E_form (uncorrected) (meV/atom): -314

Geometry as extended XYZ:
```
5
Lattice="5.4199 0.0000 0.0000 0.0000 5.4199 0.0000 0.0000 0.0000 5.4199" Properties=species:S:1:pos:R:3 pbc="T T T"
Ac 0.0000 0.0000 2.7099
Ac 0.0000 2.7099 0.0000
Ac 2.7099 0.0000 0.0000
Sb 2.7099 2.7099 2.7099
C 0.0000 0.0000 0.0000
```